[1]
An optimized crystal structure of PtAuSe2, computed with GGA-PBE.

Unit cell a=2.955 b=2.955 c=8.666 alpha=90.00 beta=90.00 gamma=90.00
Atoms (fractional coordinates):
1 Pt 0.000 0.000 0.000
2 Au 0.000 0.000 0.500
3 Se 0.500 0.500 0.216
4 Se 0.500 0.500 0.784

Results
- Formation energy from raw total energies: 0.3488 eV per atom
- Calculated volume: 75.7 Å³ per cell



[2]
An optimized crystal structure of TiAl2Mo2, computed with GGA-PBE.

Unit cell a=3.627 b=3.627 c=13.000 alpha=90.00 beta=90.00 gamma=90.00
Atoms (fractional coordinates):
1 Ti 0.000 0.000 0.000
2 Ti 0.500 0.500 0.500
3 Al 0.000 0.500 0.250
4 Al 0.000 0.500 0.750
5 Al 0.500 0.000 0.250
6 Al 0.500 0.000 0.750
7 Mo 0.000 0.000 0.405
8 Mo 0.000 0.000 0.595
9 Mo 0.500 0.500 0.095
10 Mo 0.500 0.500 0.905

Results
- Calculated volume: 171.0 Å³ per cell
- ΔH_f (0 K): 280 meV per atom



[3]
An optimized crystal structure of SiHg2As, computed with GGA-PBE.

Unit cell a=2.862 b=3.911 c=8.043 alpha=90.00 beta=91.36 gamma=90.00
Atoms (fractional coordinates):
1 Si 0.000 0.000 0.000
2 Hg 0.000 0.500 0.241
3 Hg 0.000 0.500 0.759
4 As 0.000 0.000 0.500

Results
- Formation energy from raw total energies: 0.3689 eV per atom
- Calculated volume: 90.0 Å³ per cell



[4]
An optimized crystal structure of TlTc2Sb, computed with GGA-PBE.

Unit cell a=4.277 b=4.277 c=19.318 alpha=90.00 beta=90.00 gamma=90.00
Atoms (fractional coordinates):
1 Tl 0.000 0.000 0.000
2 Tl 0.000 0.500 0.250
3 Tl 0.500 0.000 0.750
4 Tl 0.500 0.500 0.500
5 Tc 0.145 0.250 0.625
6 Tc 0.250 0.645 0.875
7 Tc 0.250 0.855 0.375
8 Tc 0.355 0.250 0.125
9 Tc 0.645 0.750 0.125
10 Tc 0.750 0.145 0.375
11 Tc 0.750 0.355 0.875
12 Tc 0.855 0.750 0.625
13 Sb 0.000 0.000 0.500
14 Sb 0.000 0.500 0.750
15 Sb 0.500 0.000 0.250
16 Sb 0.500 0.500 0.000

Results
- Formation energy from raw total energies: 0.7917 eV per atom
- Calculated volume: 353.4 Å³ per cell



[5]
An optimized crystal structure of Tl8HgTe6, computed with GGA-PBE.

Unit cell a=9.533 b=10.079 c=11.767 alpha=90.00 beta=90.00 gamma=90.00
Atoms (fractional coordinates):
1 Tl 0.000 0.249 0.078
2 Tl 0.000 0.250 0.708
3 Tl 0.213 0.556 0.500
4 Tl 0.213 0.944 0.499
5 Tl 0.221 0.749 0.781
6 Tl 0.279 0.251 0.281
7 Tl 0.287 0.056 0.999
8 Tl 0.287 0.444 0.000
9 Tl 0.500 0.750 0.208
10 Tl 0.500 0.751 0.578
11 Tl 0.713 0.056 0.999
12 Tl 0.713 0.444 0.000
13 Tl 0.721 0.251 0.281
14 Tl 0.779 0.749 0.781
15 Tl 0.787 0.556 0.500
16 Tl 0.787 0.944 0.499
17 Hg 0.000 0.750 0.211
18 Hg 0.500 0.250 0.711
19 Te 0.000 0.010 0.847
20 Te 0.000 0.011 0.300
21 Te 0.000 0.489 0.847
22 Te 0.000 0.490 0.301
23 Te 0.250 0.250 0.560
24 Te 0.250 0.750 0.060
25 Te 0.500 0.510 0.801
26 Te 0.500 0.511 0.347
27 Te 0.500 0.989 0.800
28 Te 0.500 0.990 0.347
29 Te 0.750 0.250 0.560
30 Te 0.750 0.750 0.060

Results
- Formation energy from raw total energies: -0.2292 eV per atom
- Calculated volume: 1130.6 Å³ per cell



[6]
An optimized crystal structure of Hf2AlPt, computed with GGA-PBE.

Unit cell a=4.349 b=4.349 c=14.824 alpha=90.00 beta=90.00 gamma=120.00
Atoms (fractional coordinates):
1 Hf 0.000 0.000 0.000
2 Hf 0.000 0.000 0.204
3 Hf 0.333 0.667 0.667
4 Hf 0.333 0.667 0.871
5 Hf 0.667 0.333 0.333
6 Hf 0.667 0.333 0.538
7 Al 0.000 0.000 0.781
8 Al 0.333 0.667 0.448
9 Al 0.667 0.333 0.115
10 Pt 0.000 0.000 0.403
11 Pt 0.333 0.667 0.069
12 Pt 0.667 0.333 0.736

Results
- Calculated volume: 242.8 Å³ per cell
- ΔH_f (0 K): -505 meV per atom



[7]
An optimized crystal structure of SrAc4Zn5, computed with GGA-PBE.

Unit cell a=3.918 b=3.918 c=19.529 alpha=90.00 beta=90.00 gamma=90.00
Atoms (fractional coordinates):
1 Sr 0.000 0.000 0.000
2 Ac 0.000 0.000 0.201
3 Ac 0.000 0.000 0.399
4 Ac 0.000 0.000 0.601
5 Ac 0.000 0.000 0.799
6 Zn 0.500 0.500 0.104
7 Zn 0.500 0.500 0.300
8 Zn 0.500 0.500 0.500
9 Zn 0.500 0.500 0.700
10 Zn 0.500 0.500 0.896

Results
- Calculated volume: 299.8 Å³ per cell
- ΔH_f (0 K): -237 meV per atom



[8]
An optimized crystal structure of U5Se2S5, computed with GGA-PBE.

Unit cell a=7.295 b=7.295 c=10.794 alpha=92.24 beta=92.24 gamma=29.36
Atoms (fractional coordinates):
1 U 0.000 0.000 0.000
2 U 0.137 0.137 0.509
3 U 0.267 0.267 0.174
4 U 0.733 0.733 0.826
5 U 0.863 0.863 0.491
6 Se 0.077 0.077 0.764
7 Se 0.923 0.923 0.236
8 S 0.299 0.299 0.656
9 S 0.357 0.357 0.948
10 S 0.500 0.500 0.500
11 S 0.643 0.643 0.052
12 S 0.701 0.701 0.344

Results
- Formation energy from raw total energies: -1.2686 eV per atom
- Calculated volume: 281.4 Å³ per cell



Question: Which of these has the lowest calculated volume?
Answer: PtAuSe2